1.
A geometry-optimized HoGa2Sb structure. Source: Alexandria, functional PBE.

Lattice parameters (Å, degrees): 4.5224 4.5224 4.3320 90.00 90.00 90.00
Closest atoms and distances in Å follow each position.
Sites, in units of the cell vectors:
1 Ho 0.0000 0.0000 0.0000  8 Ga 3.13, 4 Sb 3.20
2 Ga 0.0000 0.5000 0.5000  4 Ho 3.13, 4 Sb 3.13, 4 Ga 3.20
3 Ga 0.5000 0.0000 0.5000  4 Ho 3.13, 4 Sb 3.13, 4 Ga 3.20
4 Sb 0.5000 0.5000 0.0000  8 Ga 3.13, 4 Ho 3.20

Computed properties:
calculated density	8.0	g cm⁻³
space group	P4/mmm
calculated total energy	-16.7	eV per cell
formation energy (no corrections)	-493	meV per atom
total magnetic moment	0.00	μB per formula unit
D(E_F)	0.74	states/eV per cell


2.
A geometry-optimized Y2MgIr structure. Source: Alexandria, functional PBE.

Lattice parameters (Å, degrees): 4.0074 4.0074 8.5322 103.42 103.42 59.87
Closest atoms and distances in Å follow each position.
Sites, in units of the cell vectors:
1 Y 0.2278 0.2278 0.1850  3 Ir 2.77
2 Y 0.7722 0.7722 0.8150  3 Ir 2.77
3 Mg 0.0000 0.0000 0.5000  6 Y 3.47-3.48
4 Ir 0.5000 0.5000 0.0000  6 Y 2.77

Computed properties:
ΔH_f (0 K)	-1.4	eV per formula unit
calculated density	5.7	g cm⁻³
space group	C2/m
calculated total energy	-24.8	eV per cell
total magnetic moment	0.00	μB per formula unit
D(E_F)	2.44	states/eV per cell